Li3CoO3 | PBE+U | optimized geometry

CIF file:
```
data_Li3CoO3
_chemical_formula_sum 'Li24 Co8 O24'
_cell_length_a 14.356
_cell_length_b 5.113
_cell_length_c 7.582
_cell_angle_alpha 90.00
_cell_angle_beta 90.00
_cell_angle_gamma 90.00
_space_group_name_H-M_alt 'C m c e'
_space_group_IT_number 64
_space_group_name_Hall '-C 2ac 2'
loop_
_atom_site_label
_atom_site_type_symbol
_atom_site_fract_x
_atom_site_fract_y
_atom_site_fract_z
Li1 Li 0.000 0.094 0.155
Li2 Li 0.194 0.117 0.863
Co1 Co 0.100 0.000 0.500
O1 O 0.000 0.218 0.402
O2 O 0.168 0.241 0.619
```

Computed properties:
Calculated total energy   -0.38287 Ry per atom
Crystal system   orthorhombic